(1)
Ce11Zn9Ni4 | Alexandria via LeMat-Bulk | GGA-PBE | relaxed; SG = Cmmm, No. 65; DOS(E_F) = 44.93 states/eV/f.u.; DFT formation energy = -0.298 eV/atom; magnetic moment = 0.15 μB per atom; DFT total energy = -4.46 eV/atom
1.0
6.897 -10.333 0.000
6.897 10.333 0.000
0.000 0.000 3.594
Ce Zn Ni
11 9 4
direct
0.000 0.000 0.000
0.056 0.417 0.000
0.159 0.841 0.000
0.308 0.308 0.000
0.374 0.626 0.000
0.417 0.056 0.000
0.583 0.944 0.000
0.626 0.374 0.000
0.692 0.692 0.000
0.841 0.159 0.000
0.944 0.583 0.000
0.081 0.222 0.500
0.170 0.634 0.500
0.222 0.081 0.500
0.366 0.830 0.500
0.500 0.500 0.500
0.634 0.170 0.500
0.778 0.919 0.500
0.830 0.366 0.500
0.919 0.778 0.500
0.246 0.448 0.500
0.448 0.246 0.500
0.552 0.754 0.500
0.754 0.552 0.500



(2)
CeZn2Ni3 | Alexandria via LeMat-Bulk | GGA-PBE | relaxed; SG = Cmcm, No. 63; DOS(E_F) = 5.33 states/eV/f.u.; energy above the most stable polymorph in this dataset = 31 meV/atom; DFT formation energy = -0.287 eV/atom; magnetic moment = 0.00 μB per atom; DFT total energy = -4.59 eV/atom
1.0
4.846 -3.664 0.000
4.846 3.664 0.000
0.000 0.000 5.188
Ce Zn Ni
2 4 6
direct
0.180 0.820 0.750
0.820 0.180 0.250
0.280 0.280 0.000
0.280 0.280 0.500
0.720 0.720 0.000
0.720 0.720 0.500
0.075 0.661 0.250
0.339 0.925 0.250
0.482 0.518 0.250
0.518 0.482 0.750
0.661 0.075 0.750
0.925 0.339 0.750



(3)
Ce2ZnNi6 | Alexandria via LeMat-Bulk | GGA-PBE | relaxed; SG = P-3m1, No. 164; DOS(E_F) = 5.92 states/eV/f.u.; DFT formation energy = -0.344 eV/atom; magnetic moment = 0.00 μB per atom; DFT total energy = -5.66 eV/atom
1.0
5.200 0.000 0.000
-2.600 4.503 0.000
0.000 0.000 5.817
Ce Zn Ni
2 1 6
direct
0.333 0.667 0.204
0.667 0.333 0.796
0.000 0.000 0.000
0.171 0.342 0.672
0.171 0.829 0.672
0.342 0.171 0.328
0.658 0.829 0.672
0.829 0.171 0.328
0.829 0.658 0.328



(4)
Ce3ZnNi2 | Alexandria via LeMat-Bulk | GGA-PBE | relaxed; SG = P2_1/c, No. 14; DOS(E_F) = 8.89 states/eV/f.u.; DFT formation energy = -0.257 eV/atom; magnetic moment = 0.00 μB per atom; DFT total energy = -5.36 eV/atom
1.0
7.463 0.000 0.000
0.000 8.533 0.000
-5.808 0.000 7.459
Ce Zn Ni
12 4 8
direct
0.056 0.176 0.177
0.056 0.324 0.677
0.276 0.017 0.513
0.276 0.483 0.013
0.314 0.083 0.066
0.314 0.417 0.566
0.686 0.583 0.434
0.686 0.917 0.934
0.724 0.517 0.987
0.724 0.983 0.487
0.944 0.676 0.323
0.944 0.824 0.823
0.252 0.707 0.731
0.252 0.793 0.231
0.748 0.207 0.769
0.748 0.293 0.269
0.219 0.503 0.264
0.219 0.997 0.764
0.462 0.718 0.577
0.462 0.782 0.077
0.538 0.218 0.923
0.538 0.282 0.423
0.781 0.003 0.236
0.781 0.497 0.736



(5)
CeZn4Ni | Alexandria via LeMat-Bulk | GGA-PBE | relaxed; SG = F-43m, No. 216; DOS(E_F) = 8.15 states/eV/f.u.; energy above the most stable polymorph in this dataset = 209 meV/atom; DFT formation energy = -0.090 eV/atom; magnetic moment = 0.21 μB per atom; DFT total energy = -2.89 eV/atom
1.0
0.000 3.711 3.711
3.711 0.000 3.711
3.711 3.711 0.000
Ce Zn Ni
1 4 1
direct
0.000 0.000 0.000
0.376 0.376 0.376
0.376 0.376 0.871
0.376 0.871 0.376
0.871 0.376 0.376
0.750 0.750 0.750



(6)
Ce2ZnNi3 | Alexandria via LeMat-Bulk | GGA-PBE | relaxed; SG = P6_3/mmc, No. 194; DOS(E_F) = 9.39 states/eV/f.u.; DFT formation energy = -0.363 eV/atom; magnetic moment = 0.00 μB per atom; DFT total energy = -5.44 eV/atom
1.0
5.258 0.000 0.000
-2.629 4.554 0.000
0.000 0.000 8.135
Ce Zn Ni
4 2 6
direct
0.333 0.667 0.066
0.333 0.667 0.434
0.667 0.333 0.566
0.667 0.333 0.934
0.000 0.000 0.000
0.000 0.000 0.500
0.168 0.335 0.750
0.168 0.832 0.750
0.335 0.168 0.250
0.665 0.832 0.750
0.832 0.168 0.250
0.832 0.665 0.250



(7)
CeZn2Ni9 | Alexandria via LeMat-Bulk | GGA-PBE | relaxed; SG = P4/mbm, No. 127; DOS(E_F) = 17.75 states/eV/f.u.; energy above the most stable polymorph in this dataset = 0 meV/atom; DFT formation energy = -0.224 eV/atom; magnetic moment = 0.16 μB per atom; DFT total energy = -5.27 eV/atom
1.0
8.082 0.000 0.000
0.000 8.082 0.000
0.000 0.000 4.733
Ce Zn Ni
2 4 18
direct
0.000 0.000 0.000
0.500 0.500 0.000
0.117 0.383 0.000
0.383 0.883 0.000
0.617 0.117 0.000
0.883 0.617 0.000
0.000 0.500 0.500
0.064 0.209 0.500
0.179 0.679 0.243
0.179 0.679 0.757
0.209 0.936 0.500
0.291 0.436 0.500
0.321 0.179 0.243
0.321 0.179 0.757
0.436 0.709 0.500
0.500 0.000 0.500
0.564 0.291 0.500
0.679 0.821 0.243
0.679 0.821 0.757
0.709 0.564 0.500
0.791 0.064 0.500
0.821 0.321 0.243
0.821 0.321 0.757
0.936 0.791 0.500



(8)
CeZn7Ni5 | Alexandria via LeMat-Bulk | GGA-PBE | relaxed; SG = Imm2, No. 44; DOS(E_F) = 9.36 states/eV/f.u.; DFT formation energy = -0.266 eV/atom; magnetic moment = 0.03 μB per atom; DFT total energy = -3.63 eV/atom
1.0
-2.503 4.303 4.277
2.503 -4.303 4.277
2.503 4.303 -4.277
Ce Zn Ni
1 7 5
direct
0.000 0.000 0.000
0.241 0.525 0.716
0.253 0.753 0.500
0.356 0.356 0.000
0.387 0.039 0.348
0.665 0.665 0.000
0.690 0.039 0.652
0.809 0.525 0.284
0.027 0.026 0.497
0.027 0.531 0.001
0.529 0.026 0.999
0.529 0.531 0.503
0.806 0.306 0.500



(9)
Ce3Zn3Ni8 | Alexandria via LeMat-Bulk | GGA-PBE | relaxed; SG = Immm, No. 71; DOS(E_F) = 15.00 states/eV/f.u.; DFT formation energy = -0.313 eV/atom; magnetic moment = 0.03 μB per atom; DFT total energy = -5.16 eV/atom
1.0
-2.073 4.294 6.185
2.073 -4.294 6.185
2.073 4.294 -6.185
Ce Zn Ni
3 3 8
direct
0.000 0.000 0.000
0.293 0.293 0.000
0.707 0.707 0.000
0.280 0.500 0.780
0.500 0.000 0.500
0.720 0.500 0.220
0.022 0.697 0.325
0.154 0.891 0.263
0.371 0.697 0.675
0.372 0.109 0.263
0.628 0.891 0.737
0.629 0.303 0.325
0.846 0.109 0.737
0.978 0.303 0.675



(10)
Ce2ZnNi5 | Alexandria via LeMat-Bulk | GGA-PBE | relaxed; SG = I4mm, No. 107; DOS(E_F) = 7.41 states/eV/f.u.; DFT formation energy = -0.229 eV/atom; magnetic moment = 0.00 μB per atom; DFT total energy = -5.48 eV/atom
1.0
-2.925 2.925 3.742
2.925 -2.925 3.742
2.925 2.925 -3.742
Ce Zn Ni
2 1 5
direct
0.000 0.500 0.500
0.500 0.000 0.500
0.316 0.316 0.000
0.530 0.530 0.578
0.530 0.952 0.000
0.952 0.530 0.000
0.952 0.952 0.422
0.988 0.988 0.000



(11)
Ce2Zn5Ni5 | Alexandria via LeMat-Bulk | GGA-PBE | relaxed; SG = Pmmm, No. 47; DOS(E_F) = 14.66 states/eV/f.u.; energy above the most stable polymorph in this dataset = 0 meV/atom; DFT formation energy = -0.343 eV/atom; magnetic moment = 0.10 μB per atom; DFT total energy = -4.27 eV/atom
1.0
4.151 0.000 0.000
0.000 5.104 0.000
0.000 0.000 8.796
Ce Zn Ni
2 5 5
direct
0.000 0.000 0.000
0.000 0.500 0.500
0.500 0.000 0.500
0.500 0.252 0.245
0.500 0.252 0.755
0.500 0.748 0.245
0.500 0.748 0.755
0.000 0.000 0.333
0.000 0.000 0.667
0.000 0.500 0.160
0.000 0.500 0.840
0.500 0.500 0.000



Among the records above, which one has the highest DOS(E_F)?
Ce11Zn9Ni4